#1
Entry from OQMD: a geometry-optimized ThTlTc structure (GGA-PBE).

Results
symmetry: F-43m, No. 216
magnetization: 0.002 μB/cell

Structure (extended XYZ):
```
3
Lattice="0.0000 3.4981 3.4981 3.4981 0.0000 3.4981 3.4981 3.4981 0.0000" Properties=species:S:1:pos:R:3 pbc="T T T"
Tl 5.2472 5.2472 5.2472
Tc 1.7490 1.7490 1.7490
Th 0.0000 0.0000 0.0000
```


#2
Entry from OQMD: a geometry-optimized ThTlTc structure (GGA-PBE).

Results
symmetry: F-43m, No. 216
magnetization: 0.062 μB/cell

Structure (extended XYZ):
```
3
Lattice="-0.7970 -2.1970 4.2570 1.0761 2.2823 4.1494 -3.5630 1.5598 2.9080" Properties=species:S:1:pos:R:3 pbc="T T T"
Tl 0.0000 0.0000 0.0000
Tc -0.8210 0.4112 2.8286
Th -2.4629 1.2337 8.4858
```


Which one sits at the top of the stability order? #2 does.


#1
Entry from OQMD: a geometry-optimized Tl2Tc structure (GGA-PBE).

Results
symmetry: Fd-3m, No. 227
magnetization: 6.226 μB/cell

Structure (extended XYZ):
```
6
Lattice="1.0941 -2.9994 4.9990 -4.4986 -1.8327 3.4041 -1.3015 -5.7771 0.3376" Properties=species:S:1:pos:R:3 pbc="T T T"
Tl -2.9412 -6.6308 5.4629
Tl -3.4883 -5.1311 2.9634
Tl -2.2905 -3.7422 5.2941
Tl -0.6919 -5.7145 3.7608
Tc -1.1765 -2.6523 2.1851
Tc 0.0000 0.0000 0.0000
```


#2
Entry from OQMD: a geometry-optimized Tl2Tc structure (GGA-PBE).

Results
symmetry: Fd-3m, No. 227
magnetization: 0.265 μB/cell

Structure (extended XYZ):
```
6
Lattice="-6.3336 -3.5046 4.3541 1.6648 -4.8393 6.7205 -1.8333 2.7785 7.7637" Properties=species:S:1:pos:R:3 pbc="T T T"
Tl -2.4383 -2.0871 7.0644
Tl -3.3550 -0.6978 10.9462
Tl -5.6051 -3.8394 9.2414
Tl -1.6059 -4.5067 10.4246
Tc -1.6255 -1.3914 4.7096
Tc -3.2511 -2.7827 9.4192
```


Which one sits at the top of the stability order? #1 does.


#1
Entry from OQMD: a geometry-optimized TlTc2 structure (GGA-PBE).

Results
symmetry: Fd-3m, No. 227
magnetization: 0.018 μB/cell

Structure (extended XYZ):
```
6
Lattice="0.0000 3.7515 3.7515 3.7515 0.0000 3.7515 3.7515 3.7515 0.0000" Properties=species:S:1:pos:R:3 pbc="T T T"
Tl 0.0000 0.0000 0.0000
Tl 1.8758 1.8758 1.8758
Tc 4.6894 4.6894 4.6894
Tc 2.8137 4.6894 2.8137
Tc 4.6894 2.8137 2.8137
Tc 2.8137 2.8137 4.6894
```


#2
Entry from OQMD: a geometry-optimized TlTc2 structure (GGA-PBE).

Results
symmetry: Fd-3m, No. 227
magnetization: 16.399 μB/cell

Structure (extended XYZ):
```
6
Lattice="-4.8213 7.1924 1.5603 -0.6356 3.1811 8.1784 3.9524 7.5769 2.0926" Properties=species:S:1:pos:R:3 pbc="T T T"
Tc -0.8820 8.3219 8.5259
Tc 1.4120 10.5198 5.4830
Tc -0.5642 6.7314 4.4367
Tc -2.9748 10.3276 5.2169
Tl -0.3761 4.4876 2.9578
Tl -0.7522 8.9752 5.9156
```


Which one sits at the top of the stability order? #1 does.


#1
Entry from OQMD: a geometry-optimized U2Tc structure (GGA-PBE).

Results
symmetry: Fmmm, No. 69
magnetization: 0.085 μB/cell

Structure (extended XYZ):
```
6
Lattice="-1.9034 -0.8419 4.9618 -2.3592 -4.3610 2.0897 4.5089 -1.7529 1.4323" Properties=species:S:1:pos:R:3 pbc="T T T"
U -0.3535 -2.9862 1.9010
U 0.5997 -3.9697 6.5827
U -1.8826 -4.8527 4.4306
U 2.1289 -2.1032 4.0531
Tc 1.1363 -4.7964 3.8815
Tc -0.8901 -2.1594 4.6022
```


#2
Entry from OQMD: a geometry-optimized U2Tc structure (GGA-PBE).

Results
symmetry: Fd-3m, No. 227
magnetization: 9.821 μB/cell

Structure (extended XYZ):
```
6
Lattice="-0.4302 -7.0398 4.3131 5.1529 -1.2877 6.3353 -2.8786 0.0696 7.7496" Properties=species:S:1:pos:R:3 pbc="T T T"
U -0.9628 -6.5819 12.9306
U 1.6136 -7.2257 16.0982
U 1.8287 -3.7058 13.9417
U 3.0529 -7.2605 12.2234
Tc 0.0000 0.0000 0.0000
Tc 1.3831 -6.1935 13.7985
```


Which one sits at the top of the stability order? #1 does.


#1
Entry from OQMD: a geometry-optimized TcW2 structure (GGA-PBE).

Results
symmetry: Fd-3m, No. 227
magnetization: 9.894 μB/cell

Structure (extended XYZ):
```
6
Lattice="3.8739 2.2366 6.3260 -3.8739 2.2366 6.3260 0.0000 -4.4732 6.3260" Properties=species:S:1:pos:R:3 pbc="T T T"
W 0.0000 0.0000 7.1168
W 0.0000 -2.2366 10.2798
W -1.9369 1.1183 10.2798
W 1.9369 1.1183 10.2798
Tc 0.0000 0.0000 4.7445
Tc 0.0000 0.0000 9.4890
```


#2
Entry from OQMD: a geometry-optimized TcW2 structure (GGA-PBE).

Results
symmetry: Fm-3m, No. 225
magnetization: 0.001 μB/cell

Structure (extended XYZ):
```
3
Lattice="0.0000 3.0206 3.0206 3.0206 0.0000 3.0206 3.0206 3.0206 0.0000" Properties=species:S:1:pos:R:3 pbc="T T T"
W 4.5309 4.5309 4.5309
W 1.5103 1.5103 1.5103
Tc 0.0000 0.0000 0.0000
```


Which one sits at the top of the stability order? #2 does.


#1
Entry from OQMD: a geometry-optimized Tc2W structure (GGA-PBE).

Results
symmetry: Fm-3m, No. 225
magnetization: 0.004 μB/cell

Structure (extended XYZ):
```
3
Lattice="0.7833 -2.9087 -2.9578 -0.7645 -4.0755 0.7926 -3.2007 -1.9618 -1.9312" Properties=species:S:1:pos:R:3 pbc="T T T"
Tc -2.3864 -6.7095 -3.0723
Tc -0.7955 -2.2365 -1.0241
W 0.0000 0.0000 0.0000
```


#2
Entry from OQMD: a geometry-optimized Tc2W structure (GGA-PBE).

Results
symmetry: Fd-3m, No. 227
magnetization: 8.218 μB/cell

Structure (extended XYZ):
```
6
Lattice="1.1180 5.5620 5.2144 2.5513 -1.7835 7.0488 7.1579 1.9230 2.1075" Properties=species:S:1:pos:R:3 pbc="T T T"
Tc 4.6192 4.9191 7.9962
Tc 4.0602 2.1381 5.3890
Tc 7.6392 3.0996 6.4428
Tc 5.3358 1.2464 8.9134
W 5.4136 2.8508 7.1853
W 2.7068 1.4254 3.5927
```


Which one sits at the top of the stability order? #1 does.


#1
Entry from OQMD: a geometry-optimized ZrTc2W structure (GGA-PBE).

Results
symmetry: Pnma, No. 62
magnetization: 0.005 μB/cell

Structure (extended XYZ):
```
16
Lattice="5.6194 0.0000 0.0000 0.0000 4.6919 0.0000 0.0000 0.0000 10.2202" Properties=species:S:1:pos:R:3 pbc="T T T"
Tc 2.7940 3.5189 1.8859
Tc 2.8254 1.1730 8.3343
Tc 5.6038 1.1730 3.2242
Tc 2.9585 1.1730 3.3695
Tc 5.4706 1.1730 8.4796
Tc 0.0157 3.5189 6.9960
Tc 2.6609 3.5189 6.8506
Tc 0.1488 3.5189 1.7406
Zr 3.7189 3.5189 9.5040
Zr 1.9005 1.1730 0.7161
Zr 0.9092 1.1730 5.8262
Zr 4.7102 3.5189 4.3939
W 4.7408 1.1730 0.7775
W 1.9311 3.5189 4.3326
W 0.8787 3.5189 9.4427
W 3.6884 1.1730 5.8876
```


#2
Entry from OQMD: a geometry-optimized ZrTc2W structure (GGA-PBE).

Results
symmetry: P4/mmm, No. 123
magnetization: 0.001 μB/cell

Structure (extended XYZ):
```
4
Lattice="4.5320 0.0000 0.0000 0.0000 4.5320 0.0000 0.0000 0.0000 3.1952" Properties=species:S:1:pos:R:3 pbc="T T T"
Zr 0.0000 0.0000 0.0000
Tc 0.0000 2.2660 1.5976
Tc 2.2660 0.0000 1.5976
W 2.2660 2.2660 0.0000
```


#3
Entry from OQMD: a geometry-optimized ZrTc2W structure (GGA-PBE).

Results
symmetry: P4/mmm, No. 123
magnetization: 0.003 μB/cell

Structure (extended XYZ):
```
4
Lattice="-1.3992 2.0203 -2.0361 -0.7021 -2.4378 -1.9363 -5.6442 -0.8139 3.0711" Properties=species:S:1:pos:R:3 pbc="T T T"
Zr 0.0000 0.0000 0.0000
Tc -5.2038 -0.8077 0.2736
Tc -2.5416 -0.4238 -1.1750
W -2.8221 -0.4070 1.5355
```


Which one sits at the top of the stability order? #3 does.


#1
Entry from OQMD: a geometry-optimized ZrTc2W structure (GGA-PBE).

Results
symmetry: P4/mmm, No. 123
magnetization: 0.010 μB/cell

Structure (extended XYZ):
```
16
Lattice="6.4052 0.0000 0.0000 0.0000 6.4121 0.0000 0.0000 0.0000 6.3918" Properties=species:S:1:pos:R:3 pbc="T T T"
Zr 1.5988 1.6030 3.1952
Zr 1.6038 1.6030 6.3911
Zr 4.8064 4.8091 3.1966
Zr 4.8014 4.8091 0.0007
Tc 6.4043 3.2051 1.5967
Tc 3.2035 0.0010 4.7926
Tc 3.2017 3.2070 1.5992
Tc 3.2017 6.4111 1.5992
Tc 6.4043 0.0010 1.5967
Tc 0.0009 6.4111 4.7951
Tc 0.0009 3.2070 4.7951
Tc 3.2035 3.2051 4.7926
W 1.5989 4.8091 0.0000
W 1.6037 4.8091 3.1965
W 4.8063 1.6030 0.0000
W 4.8015 1.6030 3.1953
```


#2
Entry from OQMD: a geometry-optimized ZrTc2W structure (GGA-PBE).

Results
symmetry: Fm-3m, No. 225
magnetization: 0.020 μB/cell

Structure (extended XYZ):
```
24
Lattice="4.5299 0.0000 0.0000 0.0000 6.4031 0.0000 0.0000 0.0000 13.5911" Properties=species:S:1:pos:R:3 pbc="T T T"
Tc 0.0000 4.8025 2.2650
Tc 0.0000 4.8024 6.7955
Tc 2.2649 1.6008 0.0000
Tc 2.2650 4.8022 4.5304
Tc 2.2649 4.8022 9.0607
Tc 2.2650 1.6009 4.5304
Tc 0.0000 1.6006 11.3261
Tc 2.2649 1.6009 9.0607
Tc 0.0000 1.6007 6.7955
Tc 0.0000 4.8025 11.3261
Tc 2.2649 4.8023 0.0000
Tc 0.0000 1.6006 2.2650
W 2.2649 3.2016 11.3262
W 0.0000 0.0000 0.0000
W 2.2649 3.2016 6.7955
W 2.2649 3.2016 2.2649
W 0.0000 0.0000 9.0604
W 0.0000 0.0000 4.5307
Zr 0.0000 3.2016 4.5303
Zr 2.2647 0.0000 11.3259
Zr 2.2652 0.0000 2.2652
Zr 0.0000 3.2016 0.0000
Zr 0.0000 3.2016 9.0608
Zr 2.2649 0.0000 6.7955
```


Which one sits at the top of the stability order? #2 does.


#1
Entry from OQMD: a geometry-optimized YTc2 structure (GGA-PBE).

Results
symmetry: Fd-3m, No. 227
magnetization: 0.001 μB/cell

Structure (extended XYZ):
```
6
Lattice="-4.1307 1.3662 3.1955 -3.6489 3.5987 -1.6957 -5.0063 -1.6049 -1.2257" Properties=species:S:1:pos:R:3 pbc="T T T"
Tc -6.1667 0.3006 1.0192
Tc -7.9912 2.1000 0.1713
Tc -5.4880 2.9024 0.7842
Tc -5.9258 1.4169 -1.4264
Y 0.0000 0.0000 0.0000
Y -3.1965 0.8400 0.0685
```


#2
Entry from OQMD: a geometry-optimized YTc2 structure (GGA-PBE).

Results
symmetry: Fd-3m, No. 227
magnetization: 14.000 μB/cell

Structure (extended XYZ):
```
6
Lattice="1.2675 -1.4535 8.6822 8.2568 -0.4529 3.2741 3.0872 6.5240 5.1968" Properties=species:S:1:pos:R:3 pbc="T T T"
Tc 4.7293 1.7316 6.4324
Tc 8.8577 1.5051 8.0694
Tc 5.3631 1.0048 10.7735
Tc 6.2729 4.9936 9.0308
Y 3.1529 1.1544 4.2883
Y 6.3058 2.3088 8.5765
```


Which one sits at the top of the stability order? #1 does.


#1
Entry from OQMD: a geometry-optimized Zn4Tc3 structure (GGA-PBE).

Results
symmetry: P6_3/m, No. 176
magnetization: 0.048 μB/cell

Structure (extended XYZ):
```
14
Lattice="4.7446 5.4794 0.0000 -2.3718 6.8488 0.0000 0.0000 0.0000 4.4771" Properties=species:S:1:pos:R:3 pbc="T T T"
Zn 3.9398 6.7890 2.2386
Zn 0.0138 0.0604 0.0000
Zn -0.8354 4.1518 2.2386
Zn 2.3130 4.0915 0.0000
Zn 1.5825 10.9582 2.2386
Zn 2.4178 9.5459 0.0000
Zn 1.6405 2.7573 2.2386
Zn 0.0001 2.7394 0.0000
Tc -0.7078 6.9233 2.2386
Tc 2.2896 6.7739 0.0000
Tc 1.4761 5.5135 2.2386
Tc 0.1066 8.1842 0.0000
Tc -0.0231 5.5888 0.0000
Tc 1.6048 8.1094 2.2386
```


#2
Entry from OQMD: a geometry-optimized Zn4Tc3 structure (GGA-PBE).

Results
symmetry: P6_3/m, No. 176
magnetization: 0.015 μB/cell

Structure (extended XYZ):
```
14
Lattice="4.7580 5.4945 0.0000 -2.3792 6.8683 0.0000 0.0000 0.0000 4.3638" Properties=species:S:1:pos:R:3 pbc="T T T"
Tc -0.1051 5.5356 0.0000
Tc 1.4980 2.6765 2.1819
Tc 2.3960 9.5037 0.0000
Tc 1.5693 8.3529 2.1819
Tc 0.0879 2.8178 0.0000
Tc -0.6880 6.8273 2.1819
Zn 2.3635 4.1535 0.0000
Zn 3.9800 6.8359 2.1819
Zn -0.7931 4.1211 2.1819
Zn 1.6060 5.5239 2.1819
Zn 1.5499 10.9915 2.1819
Zn 0.0000 8.2420 0.0000
Zn 2.4145 6.8652 0.0000
Zn 2.3587 12.3332 0.0000
```


Which one sits at the top of the stability order? #2 does.


#1
Entry from OQMD: a geometry-optimized ZnTc2 structure (GGA-PBE).

Results
symmetry: Fd-3m, No. 227
magnetization: 15.916 μB/cell

Structure (extended XYZ):
```
6
Lattice="2.6048 0.2957 7.5894 6.1322 4.8002 1.9558 -1.2975 6.5652 4.4370" Properties=species:S:1:pos:R:3 pbc="T T T"
Zn 1.8599 2.9153 3.4955
Zn 3.7198 5.8306 6.9911
Tc 2.1411 7.6555 7.4618
Tc 4.0922 4.5208 9.0380
Tc 5.8559 6.7730 6.2212
Tc 2.7898 4.3729 5.2433
```


#2
Entry from OQMD: a geometry-optimized ZnTc2 structure (GGA-PBE).

Results
symmetry: Fd-3m, No. 227
magnetization: 0.005 μB/cell

Structure (extended XYZ):
```
6
Lattice="0.0000 3.6189 3.6189 3.6189 0.0000 3.6189 3.6189 3.6189 0.0000" Properties=species:S:1:pos:R:3 pbc="T T T"
Tc 2.7142 2.7142 4.5236
Tc 4.5236 2.7142 2.7142
Tc 2.7142 4.5236 2.7142
Tc 4.5236 4.5236 4.5236
Zn 0.0000 0.0000 0.0000
Zn 1.8095 1.8095 1.8095
```


Which one sits at the top of the stability order? #2 does.


#1
Entry from OQMD: a geometry-optimized TmTlTe structure (GGA-PBE).

Results
symmetry: F-43m, No. 216
magnetization: 0.000 μB/cell

Structure (extended XYZ):
```
3
Lattice="0.1152 0.9703 5.0591 -4.2106 -0.7720 2.8678 -0.1413 -3.8921 3.3736" Properties=species:S:1:pos:R:3 pbc="T T T"
Tl -3.1776 -2.7704 8.4755
Te -1.0592 -0.9235 2.8252
Tm 0.0000 0.0000 0.0000
```


#2
Entry from OQMD: a geometry-optimized TmTlTe structure (GGA-PBE).

Results
symmetry: F-43m, No. 216
magnetization: 0.000 μB/cell

Structure (extended XYZ):
```
3
Lattice="0.0000 3.6480 3.6480 3.6480 0.0000 3.6480 3.6480 3.6480 0.0000" Properties=species:S:1:pos:R:3 pbc="T T T"
Tm 5.4721 5.4721 5.4721
Te 0.0000 0.0000 0.0000
Tl 1.8240 1.8240 1.8240
```


Which one sits at the top of the stability order? #1 does.